CsH3PbF6: relaxed, PBE-GGA.

For the calculated density, the calculation gives 4.09 g cm⁻³. The calculation puts the energy at -48.647 eV/f.u.

The structure belongs to space group R-3 (No. 148, hexagonal axes); the cell edges are 8.4310, 8.4310 and 9.0380 Å and the angles 90.00°, 90.00° and 120.00°. The inequivalent atoms are Cs at (0.0000, 0.0000, 0.0000), H at (0.0000, 0.5000, 0.0000), Pb at (0.0000, 0.0000, 0.5000) and F at (0.0130, 0.2295, 0.3206).